First-principles (PBE-GGA) data for a relaxed BaAs2OsBr crystal, as listed in Alexandria via LeMat-Bulk.

a = 4.797 Å, b = 4.797 Å, c = 5.799 Å
α = 90.00°, β = 90.00°, γ = 90.00°
Fractional coordinates of all 5 atoms:
As (0.500, 0.000, 0.000)
As (0.000, 0.500, 0.000)
Br (0.000, 0.000, 0.500)
Ba (0.500, 0.500, 0.500)
Os (0.000, 0.000, 0.000)

Fermi-level density of states: 3.49 states/eV/f.u.
energy relative to the elements, uncorrected: -0.31 eV/atom
excess energy over the best structure of this formula in the dataset: 0 meV/atom